(1)
VASP calculation (GGA-PBE) on crystalline BeTc2I at its relaxed geometry.

Values from the calculation:
Crystal system   cubic

```
BeTc2I
1.0
0.0000 3.0841 3.0841
3.0841 0.0000 3.0841
3.0841 3.0841 0.0000
I Be Tc
1 1 2
Cartesian
3.0841 3.0841 3.0841 I
0.0000 0.0000 0.0000 Be
1.5420 1.5420 1.5420 Tc
4.6261 4.6261 4.6261 Tc
```

---

(2)
VASP calculation (GGA-PBE) on crystalline In2SiRhAu at its relaxed geometry.

Values from the calculation:
Crystal system   tetragonal

```
In2SiRhAu
1.0
-1.3107 4.9512 -0.2410
-3.1963 -0.9884 -2.9228
-3.3111 -0.6889 3.8539
Rh Si Au In
1 1 1 2
Cartesian
-1.5982 -0.4942 -1.4614 Rh
0.0000 0.0000 0.0000 Si
-3.9091 1.6369 0.3451 Au
-1.6555 -0.3445 1.9270 In
-0.6554 2.4756 -0.1205 In
```

---

Relative energy among the computed polymorphs for the records above, in order: 0.0000 0.0000 eV per atom
Final energy for the records above, in order: -5.8007 -3.8914 eV/atom